No. 1
## Np3Ge4Ir2 (PBE)

Data for crystalline Np3Ge4Ir2 at its relaxed geometry.

Values from the calculation:
- SG: No. 12
- Energy of formation: -0.310 eV/atom
- Total energy: -8.644 eV/atom

Cell: 5.7942 5.7942 8.1854 Å, 107.47 107.47 43.80°
Positions (direct):
Np  0.0000  0.0000  0.0000
Np  0.3214  0.3214  0.3502
Np  0.6786  0.6786  0.6498
Ge  0.0305  0.0305  0.3684
Ge  0.2773  0.2773  0.9378
Ge  0.7227  0.7227  0.0622
Ge  0.9695  0.9695  0.6316
Ir  0.3940  0.3940  0.7197
Ir  0.6060  0.6060  0.2803

---

No. 2
## Ba2CuSb3 (PBE)

Data for crystalline Ba2CuSb3 at its relaxed geometry.

Values from the calculation:
- SG: No. 69
- Energy relative to the elements, uncorrected: -0.670 eV/atom
- Total energy: -4.055 eV/atom

Cell: 9.5661 9.4557 7.0922 Å, 68.94 67.28 43.78°
Positions (direct):
Ba  0.2335  0.7665  0.7665
Ba  0.2500  0.2500  0.2500
Ba  0.7500  0.7500  0.7500
Ba  0.7665  0.2335  0.2335
Cu  0.3262  0.3262  0.6738
Cu  0.6738  0.6738  0.3262
Sb  0.1691  0.1691  0.8309
Sb  0.1987  0.6206  0.3794
Sb  0.3794  0.8013  0.1987
Sb  0.6206  0.1987  0.8013
Sb  0.8013  0.3794  0.6206
Sb  0.8309  0.8309  0.1691